Computed, not measured: SrLu2O4 at its PBEsol-relaxed geometry at the SCAN level of DFT.

Cell and atoms, written as extended XYZ:
```
28
Lattice="9.852 0.000 0.000 0.000 3.300 0.000 0.000 0.000 11.597" Properties=species:S:1:pos:R:3 pbc="T T T"
Sr 2.429 0.825 1.749
Sr 2.497 2.475 7.547
Sr 7.355 0.825 4.049
Sr 7.423 2.475 9.847
Lu 0.732 0.825 4.503
Lu 0.770 0.825 10.334
Lu 4.156 2.475 4.536
Lu 4.194 2.475 10.301
Lu 5.658 0.825 1.295
Lu 5.696 0.825 7.061
Lu 9.082 2.475 1.262
Lu 9.120 2.475 7.094
O 0.175 2.475 9.083
O 0.731 0.825 6.684
O 1.201 2.475 0.231
O 2.068 2.475 3.841
O 2.858 0.825 9.639
O 3.724 0.825 6.030
O 4.195 2.475 0.885
O 4.751 0.825 3.284
O 5.101 2.475 8.312
O 5.657 0.825 10.711
O 6.127 2.475 5.567
O 6.994 2.475 1.957
O 7.783 0.825 7.756
O 8.650 0.825 11.365
O 9.120 2.475 4.913
O 9.676 0.825 2.514
```

Values from the calculation:
Its crystal system is orthorhombic. As for the total energy: -184.42 eV per formula unit. The magnetic moment is 0.00 Bohr magnetons per cell. For the mass density, the calculation gives 8.84 g/cm³. Its energy above the lowest structure with this stoichiometry is 0 meV per atom. Its space group is No. 62.

***

Computed, not measured: Sr2LuTaO6 at its PBEsol-relaxed geometry at the SCAN level of DFT.

Cell and atoms, written as extended XYZ:
```
20
Lattice="5.804 0.000 0.000 0.000 8.213 0.000 0.000 0.000 5.835" Properties=species:S:1:pos:R:3 pbc="T T T"
Sr 0.005 2.054 0.000
Sr 2.897 6.161 2.918
Sr 2.907 2.052 2.918
Sr 5.799 6.159 0.000
Lu 0.000 0.000 2.788
Lu 2.902 4.107 5.705
Ta 0.000 4.107 2.773
Ta 2.902 0.000 5.691
O 0.004 6.082 2.683
O 1.358 4.104 1.303
O 1.435 4.106 4.107
O 1.467 8.212 1.189
O 1.544 8.211 4.221
O 2.898 1.975 5.600
O 2.906 6.238 5.600
O 4.260 0.002 4.221
O 4.337 0.001 1.189
O 4.369 4.107 4.107
O 4.445 4.109 1.303
O 5.800 2.131 2.683
```

Values from the calculation:
Its crystal system is orthorhombic. As for the total energy: -238.79 eV per formula unit. The magnetic moment is 0.00 Bohr magnetons per cell. For the mass density, the calculation gives 7.49 g/cm³. Its space group is No. 34.

***

Computed, not measured: Sr2LuTaO6 at its PBEsol-relaxed geometry at the SCAN level of DFT.

Cell and atoms, written as extended XYZ:
```
10
Lattice="0.000 4.109 4.109 4.109 0.000 4.109 4.109 4.109 0.000" Properties=species:S:1:pos:R:3 pbc="T T T"
Sr 2.054 2.054 2.054
Sr 6.163 6.163 6.163
Lu 0.000 0.000 0.000
Ta 4.109 4.109 4.109
O 4.109 4.109 2.132
O 4.109 2.132 4.109
O 6.086 4.109 4.109
O 2.132 4.109 4.109
O 4.109 6.086 4.109
O 4.109 4.109 6.086
```

Values from the calculation:
Its crystal system is cubic. As for the total energy: -238.80 eV per formula unit. The magnetic moment is 0.00 Bohr magnetons per cell. For the mass density, the calculation gives 7.51 g/cm³. Its space group is No. 225.

***

Computed, not measured: LuTa3O9 at its PBEsol-relaxed geometry at the SCAN level of DFT.

Cell and atoms, written as extended XYZ:
```
26
Lattice="5.152 0.000 0.000 0.000 7.381 0.000 -0.360 0.000 8.194" Properties=species:S:1:pos:R:3 pbc="T T T"
Lu 0.011 1.845 3.551
Lu 4.780 5.535 4.643
Ta 0.000 0.000 0.000
Ta 0.000 3.690 0.000
Ta 2.169 0.059 5.698
Ta 2.169 3.631 5.698
Ta 2.623 3.749 2.496
Ta 2.623 7.321 2.496
O 0.207 1.845 7.988
O 0.440 4.207 6.401
O 0.440 6.863 6.401
O 1.136 4.042 3.825
O 1.136 7.029 3.825
O 1.419 1.845 5.313
O 1.669 4.135 0.964
O 1.669 6.936 0.964
O 2.017 1.845 2.572
O 2.775 5.535 5.622
O 3.123 0.445 7.229
O 3.123 3.246 7.229
O 3.373 5.535 2.880
O 3.656 0.352 4.369
O 3.656 3.339 4.369
O 4.352 0.517 1.793
O 4.352 3.173 1.793
O 4.584 5.535 0.205
```

Values from the calculation:
Its crystal system is monoclinic. As for the total energy: -353.82 eV per formula unit. The magnetic moment is 0.00 Bohr magnetons per cell. For the mass density, the calculation gives 9.19 g/cm³. Its energy above the lowest structure with this stoichiometry is 0 meV per atom. Its space group is No. 11.

***

Computed, not measured: LuTa3O9 at its PBEsol-relaxed geometry at the SCAN level of DFT.

Cell and atoms, written as extended XYZ:
```
52
Lattice="6.326 0.000 0.000 0.000 7.516 0.000 0.000 0.000 12.359" Properties=species:S:1:pos:R:3 pbc="T T T"
Lu 0.382 1.879 0.440
Lu 2.781 5.637 6.619
Lu 3.545 1.879 5.740
Lu 5.944 5.637 11.919
Ta 0.000 0.000 6.180
Ta 0.000 3.758 6.180
Ta 1.208 0.022 9.761
Ta 1.208 3.736 9.761
Ta 1.955 3.780 3.581
Ta 1.955 7.494 3.581
Ta 3.163 0.000 0.000
Ta 3.163 3.758 0.000
Ta 4.371 0.022 8.778
Ta 4.371 3.736 8.778
Ta 5.118 3.780 2.599
Ta 5.118 7.494 2.599
O 0.031 0.406 8.135
O 0.031 3.352 8.135
O 0.500 5.637 6.563
O 0.744 0.349 2.080
O 0.744 3.409 2.080
O 0.886 1.879 10.396
O 1.245 5.637 10.043
O 1.257 4.018 11.950
O 1.257 7.256 11.950
O 1.906 0.260 5.771
O 1.906 3.498 5.771
O 1.918 1.879 3.863
O 2.277 5.637 4.216
O 2.419 4.107 8.260
O 2.419 7.167 8.260
O 2.663 1.879 0.384
O 3.132 4.164 1.956
O 3.132 7.110 1.956
O 3.195 0.406 10.404
O 3.195 3.352 10.404
O 3.663 5.637 11.975
O 3.907 0.349 4.099
O 3.907 3.409 4.099
O 4.049 1.879 8.143
O 4.408 5.637 8.496
O 4.421 4.018 6.588
O 4.421 7.256 6.588
O 5.069 0.260 0.409
O 5.069 3.498 0.409
O 5.081 1.879 2.316
O 5.440 5.637 1.964
O 5.582 4.107 10.279
O 5.582 7.167 10.279
O 5.826 1.879 5.796
O 6.295 4.164 4.224
O 6.295 7.110 4.224
```

Values from the calculation:
Its crystal system is orthorhombic. As for the total energy: -353.59 eV per formula unit. The magnetic moment is 0.00 Bohr magnetons per cell. For the mass density, the calculation gives 9.74 g/cm³. Its energy above the lowest structure with this stoichiometry is 18 meV per atom. Its space group is No. 62.

***

Computed, not measured: LuTa7O19 at its PBEsol-relaxed geometry at the SCAN level of DFT.

Cell and atoms, written as extended XYZ:
```
54
Lattice="6.187 0.000 0.000 -3.094 5.358 0.000 0.000 0.000 19.866" Properties=species:S:1:pos:R:3 pbc="T T T"
Lu 0.000 0.000 0.000
Lu 0.000 0.000 9.933
Ta 1.966 0.153 3.084
Ta 1.966 0.153 6.849
Ta 1.116 1.627 13.017
Ta 1.116 1.627 16.782
Ta 3.094 1.786 0.000
Ta 3.094 1.786 9.933
Ta 4.221 0.153 13.017
Ta 4.221 0.153 16.782
Ta 2.243 3.579 3.084
Ta 2.243 3.579 6.849
Ta 5.072 1.627 3.084
Ta 5.072 1.627 6.849
Ta 3.944 3.579 13.017
Ta 3.944 3.579 16.782
O 0.000 0.000 2.576
O 0.000 0.000 7.357
O 0.000 0.000 12.509
O 0.000 0.000 17.290
O -0.770 2.245 12.969
O -0.770 2.245 16.830
O -1.534 3.569 3.036
O -1.534 3.569 6.897
O 1.639 0.243 4.966
O 1.030 1.298 14.899
O 0.770 2.245 3.036
O 0.770 2.245 6.897
O -0.764 4.902 12.969
O -0.764 4.902 16.830
O 2.006 0.515 1.094
O 2.006 0.515 8.839
O 1.449 1.480 11.027
O 1.449 1.480 18.772
O 1.534 3.569 12.969
O 1.534 3.569 16.830
O 0.764 4.902 3.036
O 0.764 4.902 6.897
O 3.094 1.786 3.304
O 3.094 1.786 6.629
O 3.094 1.786 13.237
O 3.094 1.786 16.562
O 4.181 0.515 11.027
O 4.181 0.515 18.772
O 2.536 3.363 1.094
O 2.536 3.363 8.839
O 4.548 0.243 14.899
O 2.485 3.817 4.966
O 4.738 1.480 1.094
O 4.738 1.480 8.839
O 3.651 3.363 11.027
O 3.651 3.363 18.772
O 5.157 1.298 4.966
O 3.702 3.817 14.899
```

Values from the calculation:
Its crystal system is hexagonal. As for the total energy: -724.81 eV per formula unit. The magnetic moment is 0.00 Bohr magnetons per cell. For the mass density, the calculation gives 8.80 g/cm³. Its space group is No. 188.